Li3Tm3MoO8 | GGA+U | relaxed

Volume (A^3/atom): 12.5
Final energy (eV/atom): -7.082
M_tot (μB/cell): 2.00

Cell lengths 6.297, 6.297, 6.205 Å; angles 116.25, 116.25, 62.69 degrees
Positions (direct):
Li 0.000 0.000 0.000
Li 0.000 0.500 0.500
Li 0.500 0.000 0.500
Tm 0.000 0.500 0.000
Tm 0.500 0.000 0.000
Tm 0.500 0.500 0.500
Mo 0.000 0.000 0.500
O 0.226 0.765 0.268
O 0.233 0.233 0.738
O 0.235 0.774 0.732
O 0.260 0.260 0.249
O 0.740 0.740 0.751
O 0.765 0.226 0.268
O 0.767 0.767 0.262
O 0.774 0.235 0.732